(1)
Compound: Mg3HF
Source: Alexandria
Functional: PBE-GGA
Structure: optimized geometry

Structure (POSCAR):
```
Mg3HF
1.0
4.407 0.000 0.000
0.000 4.407 0.000
0.000 0.000 4.407
Mg H F
3 1 1
Cartesian
0.000 0.000 2.204 Mg
0.000 2.204 0.000 Mg
2.204 0.000 0.000 Mg
0.000 0.000 0.000 H
2.204 2.204 2.204 F
```

Calculated values
ρ, g/cm3: 1.80
Volume, Å³/cell: 85.6
Total DFT energy (no corrections), eV/atom: -2.29

***

(2)
Compound: MgHF2
Source: Alexandria
Functional: PBE-GGA
Structure: optimized geometry

Structure (POSCAR):
```
MgHF2
1.0
8.273 -1.560 0.000
8.273 1.560 0.000
-0.854 0.000 5.341
Mg H F
2 2 4
Cartesian
3.926 0.000 1.336 Mg
11.765 0.000 4.005 Mg
0.037 0.000 4.122 H
15.654 0.000 1.219 H
2.711 0.000 2.963 F
4.278 0.000 5.040 F
11.413 0.000 0.300 F
12.980 0.000 2.377 F
```

Calculated values
ρ, g/cm3: 1.52
Volume, Å³/cell: 137.9
Total DFT energy (no corrections), eV/atom: -4.19

***

(3)
Compound: MgH2F
Source: Alexandria
Functional: PBE-GGA
Structure: optimized geometry

Structure (POSCAR):
```
MgH2F
1.0
0.000 2.556 2.556
2.556 0.000 2.556
2.556 2.556 0.000
Mg H F
1 2 1
Cartesian
0.000 0.000 0.000 Mg
1.278 1.278 1.278 H
3.834 3.834 3.834 H
2.556 2.556 2.556 F
```

Calculated values
ρ, g/cm3: 2.25
Volume, Å³/cell: 33.4
Total DFT energy (no corrections), eV/atom: -2.85

***

(4)
Compound: MgHF
Source: Alexandria
Functional: PBE-GGA
Structure: optimized geometry

Structure (POSCAR):
```
MgHF
1.0
1.575 0.909 7.791
-1.575 0.909 7.791
0.000 -1.818 7.791
Mg H F
2 2 2
Cartesian
0.000 0.000 2.318 Mg
0.000 0.000 21.055 Mg
0.000 0.000 4.644 H
0.000 0.000 18.729 H
0.000 0.000 9.187 F
0.000 0.000 14.185 F
```

Calculated values
ρ, g/cm3: 2.20
Volume, Å³/cell: 66.9
Total DFT energy (no corrections), eV/atom: -4.05

***

Q: The highest volume belongs to which entry?
A: MgHF2

***

Q: Which of these has the lowest total DFT energy (no corrections)?
A: MgHF2